A relaxed MgMoBrO2 crystal. Source: Alexandria via LeMat-Bulk, functional PBE+U.

SG = No. 123
Calculated total energy = -3.250 eV/atom

The structure in extended XYZ format:
```
5
Lattice="4.266 0.000 0.000 0.000 4.266 0.000 0.000 0.000 4.994" Properties=species:S:1:pos:R:3 pbc="T T T"
Mg 0.000 0.000 0.000
Mo 2.133 2.133 0.000
Br 0.000 0.000 2.497
O 0.000 2.133 2.497
O 2.133 0.000 2.497
```